# 1
Computed, not measured: a geometry-optimized SmCoRu structure at the PBE-GGA level of DFT.

a = 5.8193 Å, b = 5.8193 Å, c = 5.5302 Å
α = 107.78°, β = 107.78°, γ = 40.47°
With the nearest neighbours (Å) after each atom.
Sites, in units of the cell vectors:
Sm: 0.1148 0.1148 0.2972  4 Co 2.88-3.11, 5 Ru 3.06-3.15
Sm: 0.8852 0.8852 0.7028  4 Co 2.88-3.11, 5 Ru 3.06-3.15
Co: 0.2108 0.2108 0.8700  3 Ru 2.38-2.58, 2 Co 2.46
Co: 0.7892 0.7892 0.1300  3 Ru 2.38-2.58, 2 Co 2.46
Ru: 0.4025 0.4025 0.2926  3 Co 2.38-2.58, 1 Ru 2.57
Ru: 0.5975 0.5975 0.7074  3 Co 2.38-2.58, 1 Ru 2.57

Summary:
total DFT energy (no corrections): -7.09 eV per atom
energy of formation: -0.060 eV per atom
relative energy among the computed polymorphs: 99.5 meV/atom

# 2
Computed, not measured: a geometry-optimized BeCdAs2 structure at the PBE-GGA level of DFT.

a = 4.0815 Å, b = 3.7646 Å, c = 5.4175 Å
α = 90.00°, β = 110.89°, γ = 90.00°
With the nearest neighbours (Å) after each atom.
Sites, in units of the cell vectors:
Be: 0.0000 0.0000 0.0000  3 As 2.20
Cd: 0.4031 0.5000 0.8064  7 As 2.90-3.04, 4 Be 2.93-2.96
As: 0.0873 0.5000 0.2258  2 Be 2.20
As: 0.7880 0.0000 0.5645  1 Be 2.20

Summary:
total DFT energy (no corrections): -3.25 eV per atom
energy of formation: 0.240 eV per atom
relative energy among the computed polymorphs: 175.5 meV/atom

# 3
Computed, not measured: a geometry-optimized Ti2TlSi2 structure at the PBE-GGA level of DFT.

a = 7.7210 Å, b = 7.7210 Å, c = 2.9530 Å
α = 90.00°, β = 90.00°, γ = 90.00°
With the nearest neighbours (Å) after each atom.
Sites, in units of the cell vectors:
Ti: 0.1284 0.3716 0.0000  6 Si 2.70-2.72, 3 Ti 2.80-2.95
Ti: 0.3716 0.8716 0.0000  6 Si 2.70-2.72, 3 Ti 2.80-2.95
Ti: 0.6284 0.1284 0.0000  6 Si 2.70-2.72, 3 Ti 2.80-2.95
Ti: 0.8716 0.6284 0.0000  6 Si 2.70-2.72, 3 Ti 2.80-2.95
Tl: 0.0000 0.0000 0.0000  2 Tl 2.95, 4 Ti 3.04, 8 Si 3.24
Tl: 0.5000 0.5000 0.0000  2 Tl 2.95, 4 Ti 3.04, 8 Si 3.24
Si: 0.1646 0.6646 0.5000  6 Ti 2.70-2.72, 2 Si 2.95
Si: 0.3354 0.1646 0.5000  6 Ti 2.70-2.72, 2 Si 2.95
Si: 0.6646 0.8354 0.5000  6 Ti 2.70-2.72, 2 Si 2.95
Si: 0.8354 0.3354 0.5000  6 Ti 2.70-2.72, 2 Si 2.95

Summary:
total DFT energy (no corrections): -5.93 eV per atom
E_form (uncorrected): -126 meV/atom
relative energy among the computed polymorphs: 9.6 meV/atom

# 4
Computed, not measured: a geometry-optimized TaZnPb structure at the PBE-GGA level of DFT.

a = 5.9364 Å, b = 5.9364 Å, c = 5.9364 Å
α = 147.28°, β = 147.28°, γ = 46.95°
With the nearest neighbours (Å) after each atom.
Sites, in units of the cell vectors:
Ta: 0.0000 0.0000 0.0000  4 Zn 2.73
Zn: 0.3738 0.3738 0.0000  4 Ta 2.73
Pb: 0.6886 0.6886 0.0000  5 Zn 3.11-3.43, 5 Ta 3.13-3.39, 4 Pb 3.34

Summary:
total DFT energy (no corrections): -5.12 eV per atom
energy of formation: 0.494 eV per atom

# 5
Computed, not measured: a geometry-optimized Ca2FeW structure at the PBE-GGA level of DFT.

a = 7.8618 Å, b = 7.8618 Å, c = 7.8618 Å
α = 94.42°, β = 94.42°, γ = 147.75°
With the nearest neighbours (Å) after each atom.
Sites, in units of the cell vectors:
Ca: 0.3750 0.2038 0.3288  2 Fe 2.85
Ca: 0.7962 0.1250 0.1712  2 Fe 2.85
Ca: 0.8750 0.0462 0.6712  2 Fe 2.85
Ca: 0.9538 0.6250 0.8288  2 Fe 2.85
Fe: 0.0000 0.0000 0.0000  2 W 2.18
Fe: 0.7500 0.2500 0.5000  2 W 2.18
W: 0.2500 0.7500 0.5000  2 Fe 2.18
W: 0.5000 0.5000 0.0000  2 Fe 2.18

Summary:
total DFT energy (no corrections): -5.28 eV per atom
energy of formation: 1.072 eV per atom
relative energy among the computed polymorphs: 649.4 meV/atom

# 6
Computed, not measured: a geometry-optimized YBe2Ru structure at the PBE-GGA level of DFT.

a = 4.8490 Å, b = 4.8490 Å, c = 4.8490 Å
α = 140.50°, β = 122.63°, γ = 71.89°
With the nearest neighbours (Å) after each atom.
Sites, in units of the cell vectors:
Y: 0.0000 0.0000 0.0000  4 Ru 2.82-2.85, 8 Be 2.83-2.85
Be: 0.5168 0.5168 0.0000  2 Be 2.21, 2 Ru 2.38
Be: 0.7051 0.2051 0.5000  2 Be 2.21
Ru: 0.2975 0.7975 0.5000  2 Be 2.38

Summary:
total DFT energy (no corrections): -5.68 eV per atom
energy of formation: 0.114 eV per atom
relative energy among the computed polymorphs: 364.8 meV/atom

# 7
Computed, not measured: a geometry-optimized AlZn12Ga2 structure at the PBE-GGA level of DFT.

a = 5.2484 Å, b = 5.2484 Å, c = 18.6614 Å
α = 90.00°, β = 90.00°, γ = 90.00°
With the nearest neighbours (Å) after each atom.
Sites, in units of the cell vectors:
Al: 0.2500 0.7500 0.0000  8 Zn 2.67-2.69
Al: 0.7500 0.2500 0.0000  8 Zn 2.67-2.69
Zn: 0.0014 0.5014 0.1035  6 Zn 2.62-2.64, 2 Al 2.67-2.69
Zn: 0.0014 0.9986 0.8965  6 Zn 2.62-2.64, 2 Al 2.67-2.69
Zn: 0.0751 0.5751 0.5636  8 Zn 2.60-2.74
Zn: 0.0751 0.9249 0.4364  8 Zn 2.60-2.74
Zn: 0.2500 0.2500 0.2042  5 Zn 2.49-2.64
Zn: 0.2500 0.2500 0.3378  5 Zn 2.49-2.67
Zn: 0.2500 0.2500 0.6622  5 Zn 2.49-2.67
Zn: 0.2500 0.2500 0.7958  5 Zn 2.49-2.64
Zn: 0.4249 0.5751 0.4364  8 Zn 2.60-2.74
Zn: 0.4249 0.9249 0.5636  8 Zn 2.60-2.74
Zn: 0.4986 0.5014 0.8965  6 Zn 2.62-2.64, 2 Al 2.67-2.69
Zn: 0.4986 0.9986 0.1035  6 Zn 2.62-2.64, 2 Al 2.67-2.69
Zn: 0.5014 0.0014 0.8965  6 Zn 2.62-2.64, 2 Al 2.67-2.69
Zn: 0.5014 0.4986 0.1035  6 Zn 2.62-2.64, 2 Al 2.67-2.69
Zn: 0.5751 0.0751 0.4364  8 Zn 2.60-2.74
Zn: 0.5751 0.4249 0.5636  8 Zn 2.60-2.74
Zn: 0.7500 0.7500 0.2042  5 Zn 2.49-2.64
Zn: 0.7500 0.7500 0.3378  5 Zn 2.49-2.67
Zn: 0.7500 0.7500 0.6622  5 Zn 2.49-2.67
Zn: 0.7500 0.7500 0.7958  5 Zn 2.49-2.64
Zn: 0.9249 0.0751 0.5636  8 Zn 2.60-2.74
Zn: 0.9249 0.4249 0.4364  8 Zn 2.60-2.74
Zn: 0.9986 0.0014 0.1035  6 Zn 2.62-2.64, 2 Al 2.67-2.69
Zn: 0.9986 0.4986 0.8965  6 Zn 2.62-2.64, 2 Al 2.67-2.69
Ga: 0.2500 0.7500 0.2636  8 Zn 2.85-2.97
Ga: 0.2500 0.7500 0.7364  8 Zn 2.85-2.97
Ga: 0.7500 0.2500 0.2636  8 Zn 2.85-2.97
Ga: 0.7500 0.2500 0.7364  8 Zn 2.85-2.97

Summary:
total DFT energy (no corrections): -1.57 eV per atom
energy of formation: 0.100 eV per atom

# 8
Computed, not measured: a geometry-optimized TlSnSe2 structure at the PBE-GGA level of DFT.

a = 5.2395 Å, b = 5.2395 Å, c = 5.2395 Å
α = 60.00°, β = 60.00°, γ = 60.00°
With the nearest neighbours (Å) after each atom.
Sites, in units of the cell vectors:
Tl: 0.0000 0.0000 0.0000  8 Se 3.21
Sn: 0.5000 0.5000 0.5000  8 Se 3.21
Se: 0.2500 0.2500 0.2500  4 Tl 3.21, 4 Sn 3.21
Se: 0.7500 0.7500 0.7500  4 Tl 3.21, 4 Sn 3.21

Summary:
total DFT energy (no corrections): -3.49 eV per atom
E_form (uncorrected): -154 meV/atom

# 9
Computed, not measured: a geometry-optimized LaSb2Mo structure at the PBE-GGA level of DFT.

a = 3.8422 Å, b = 4.6322 Å, c = 5.8555 Å
α = 90.00°, β = 98.26°, γ = 90.00°
With the nearest neighbours (Å) after each atom.
Sites, in units of the cell vectors:
La: 0.0000 0.0000 0.0000  8 Sb 3.26-3.50, 2 Mo 3.26
Sb: 0.3867 0.5000 0.7368  2 Mo 2.77, 2 Sb 3.02-3.08
Sb: 0.6133 0.5000 0.2632  2 Mo 2.77, 2 Sb 3.02-3.08
Mo: 0.5000 0.0000 0.5000  4 Sb 2.77

Summary:
total DFT energy (no corrections): -6.12 eV per atom
E_form (uncorrected): -120 meV/atom
relative energy among the computed polymorphs: 173.0 meV/atom

# 10
Computed, not measured: a geometry-optimized Zn2InRe structure at the PBE-GGA level of DFT.

a = 2.8045 Å, b = 2.8045 Å, c = 9.2011 Å
α = 90.00°, β = 90.00°, γ = 108.79°
With the nearest neighbours (Å) after each atom.
Sites, in units of the cell vectors:
Zn: 0.0000 0.0000 0.0000  6 Zn 2.67-2.80
Zn: 0.5000 0.5000 0.2291  2 Re 2.64, 6 Zn 2.67-2.80
In: 0.5000 0.5000 0.7172  4 In 2.80, 2 Re 2.92, 2 Zn 3.07
Re: 0.0000 0.0000 0.4544  2 Zn 2.64, 4 Re 2.80, 2 In 2.92

Summary:
total DFT energy (no corrections): -3.99 eV per atom
energy of formation: 0.447 eV per atom

# 11
Computed, not measured: a geometry-optimized Zn2CuSi structure at the PBE-GGA level of DFT.

a = 4.7214 Å, b = 4.7214 Å, c = 4.3366 Å
α = 95.56°, β = 95.56°, γ = 36.29°
With the nearest neighbours (Å) after each atom.
Sites, in units of the cell vectors:
Zn: 0.2461 0.2461 0.2448  3 Si 2.57-2.84, 4 Zn 2.59-2.65, 3 Cu 2.61-2.77
Zn: 0.7539 0.7539 0.7552  3 Si 2.57-2.84, 4 Zn 2.59-2.65, 3 Cu 2.61-2.77
Cu: 0.5000 0.5000 0.0000  6 Zn 2.61-2.77, 4 Si 2.62
Si: 0.0000 0.0000 0.5000  6 Zn 2.57-2.84, 4 Cu 2.62

Summary:
total DFT energy (no corrections): -2.91 eV per atom
E_form (uncorrected): 104 meV/atom

# 12
Computed, not measured: a geometry-optimized AsIr8 structure at the PBE-GGA level of DFT.

a = 6.1465 Å, b = 6.1465 Å, c = 6.1465 Å
α = 95.90°, β = 95.90°, γ = 142.61°
With the nearest neighbours (Å) after each atom.
Sites, in units of the cell vectors:
As: 0.0000 0.0000 0.0000  12 Ir 2.72-2.82
Ir: 0.0000 0.3301 0.3301  11 Ir 2.69-2.80, 1 As 2.72
Ir: 0.0000 0.6699 0.6699  11 Ir 2.69-2.80, 1 As 2.72
Ir: 0.3266 0.3266 0.6532  10 Ir 2.66-2.86, 2 As 2.82
Ir: 0.3266 0.6734 0.0000  10 Ir 2.66-2.86, 2 As 2.82
Ir: 0.3301 0.0000 0.3301  11 Ir 2.69-2.80, 1 As 2.72
Ir: 0.6699 0.0000 0.6699  11 Ir 2.69-2.80, 1 As 2.72
Ir: 0.6734 0.3266 0.0000  10 Ir 2.66-2.86, 2 As 2.82
Ir: 0.6734 0.6734 0.3468  10 Ir 2.66-2.86, 2 As 2.82

Summary:
total DFT energy (no corrections): -8.21 eV per atom
energy of formation: 0.187 eV per atom

# 13
Computed, not measured: a geometry-optimized MnAuSe2 structure at the PBE-GGA level of DFT.

a = 5.6230 Å, b = 5.8230 Å, c = 6.1734 Å
α = 93.40°, β = 102.12°, γ = 96.31°
With the nearest neighbours (Å) after each atom.
Sites, in units of the cell vectors:
Mn: 0.2377 0.0291 0.4676  4 Se 2.32-2.39
Mn: 0.7623 0.9709 0.5324  4 Se 2.32-2.39
Au: 0.0000 0.0000 0.0000  2 Se 2.52
Au: 0.5000 0.5000 0.5000  2 Se 2.48
Se: 0.0651 0.2669 0.7055  2 Mn 2.32-2.38, 1 Au 2.52
Se: 0.4848 0.8438 0.7519  2 Mn 2.36-2.39, 1 Au 2.48
Se: 0.5152 0.1562 0.2481  2 Mn 2.36-2.39, 1 Au 2.48
Se: 0.9349 0.7331 0.2945  2 Mn 2.32-2.38, 1 Au 2.52

Summary:
total DFT energy (no corrections): -5.01 eV per atom
E_form (uncorrected): -158 meV/atom

# 14
Computed, not measured: a geometry-optimized K3Np3SiS8 structure at the PBE-GGA level of DFT.

a = 8.7045 Å, b = 8.7045 Å, c = 8.7045 Å
α = 54.85°, β = 54.85°, γ = 54.85°
With the nearest neighbours (Å) after each atom.
Sites, in units of the cell vectors:
K: 0.0000 0.5000 0.5000  6 S 3.20-3.26
K: 0.5000 0.0000 0.5000  6 S 3.20-3.26
K: 0.5000 0.5000 0.0000  6 S 3.20-3.26
Np: 0.0000 0.0000 0.5000  6 S 2.71-2.75
Np: 0.0000 0.5000 0.0000  6 S 2.71-2.75
Np: 0.5000 0.0000 0.0000  6 S 2.71-2.75
Si: 0.5000 0.5000 0.5000  6 S 2.61
S: 0.2337 0.2337 0.2337  3 Np 2.75
S: 0.2396 0.7215 0.7215  1 Si 2.61, 2 Np 2.71
S: 0.2785 0.2785 0.7604  1 Si 2.61, 2 Np 2.71
S: 0.2785 0.7604 0.2785  1 Si 2.61, 2 Np 2.71
S: 0.7215 0.2396 0.7215  1 Si 2.61, 2 Np 2.71
S: 0.7215 0.7215 0.2396  1 Si 2.61, 2 Np 2.71
S: 0.7604 0.2785 0.2785  1 Si 2.61, 2 Np 2.71
S: 0.7663 0.7663 0.7663  3 Np 2.75

Summary:
total DFT energy (no corrections): -6.55 eV per atom
E_form (uncorrected): -1182 meV/atom

# 15
Computed, not measured: a geometry-optimized NaBi2PbI structure at the PBE-GGA level of DFT.

a = 6.0291 Å, b = 6.0291 Å, c = 6.5153 Å
α = 90.00°, β = 90.00°, γ = 90.00°
With the nearest neighbours (Å) after each atom.
Sites, in units of the cell vectors:
Na: 0.0000 0.0000 0.0000  4 I 4.26, 8 Bi 4.44
Bi: 0.0000 0.5000 0.5000  2 Pb 3.01
Bi: 0.5000 0.0000 0.5000  2 Pb 3.01
Pb: 0.5000 0.5000 0.5000  4 Bi 3.01, 2 I 3.26
I: 0.5000 0.5000 0.0000  2 Pb 3.26

Summary:
total DFT energy (no corrections): -2.62 eV per atom
E_form (uncorrected): 252 meV/atom

# 16
Computed, not measured: a geometry-optimized SrBI2N structure at the PBE-GGA level of DFT.

a = 6.4568 Å, b = 6.4568 Å, c = 5.0142 Å
α = 90.00°, β = 90.00°, γ = 90.00°
With the nearest neighbours (Å) after each atom.
Sites, in units of the cell vectors:
Sr: 0.0000 0.0000 0.0000  2 N 2.51
B: 0.5000 0.5000 0.5000  8 I 4.09, 4 N 4.57
I: 0.0000 0.5000 0.0000  2 Sr 3.23
I: 0.5000 0.0000 0.0000  2 Sr 3.23
N: 0.0000 0.0000 0.5000  2 Sr 2.51

Summary:
total DFT energy (no corrections): -2.88 eV per atom
E_form (uncorrected): 1079 meV/atom
relative energy among the computed polymorphs: 1107.3 meV/atom

# 17
Computed, not measured: a geometry-optimized Sm8Ge5P structure at the PBE-GGA level of DFT.

a = 7.7910 Å, b = 7.7910 Å, c = 7.7910 Å
α = 109.54°, β = 109.54°, γ = 109.34°
With the nearest neighbours (Å) after each atom.
Sites, in units of the cell vectors:
Sm: 0.1185 0.2422 0.7449  1 P 2.90, 2 Ge 2.95-2.96
Sm: 0.1254 0.7423 0.7499  5 Ge 2.96-3.29, 1 P 3.29
Sm: 0.2577 0.0076 0.3830  5 Ge 2.96-3.29, 1 P 3.29
Sm: 0.4974 0.3736 0.2551  1 P 2.90, 2 Ge 2.95-2.96
Sm: 0.6245 0.8746 0.6170  5 Ge 2.96-3.29, 1 P 3.29
Sm: 0.6264 0.8815 0.1238  1 P 2.90, 2 Ge 2.95-2.96
Sm: 0.7578 0.5026 0.8762  1 P 2.90, 2 Ge 2.95-2.96
Sm: 0.9924 0.3755 0.2501  5 Ge 2.96-3.29, 1 P 3.29
Ge: 0.0000 0.0000 0.0000  8 Sm 2.96-3.31
Ge: 0.2505 0.6242 0.1247  7 Sm 2.95-3.29
Ge: 0.3758 0.5005 0.6263  7 Sm 2.95-3.29
Ge: 0.4995 0.1257 0.8753  7 Sm 2.95-3.29
Ge: 0.8743 0.7495 0.3737  7 Sm 2.95-3.29
P: 0.7500 0.2500 0.5000  4 Sm 2.90

Summary:
total DFT energy (no corrections): -5.64 eV per atom
energy of formation: -0.912 eV per atom

# 18
Computed, not measured: a geometry-optimized Pr6Ir3Pd structure at the PBE-GGA level of DFT.

a = 9.1330 Å, b = 9.1330 Å, c = 7.2326 Å
α = 90.00°, β = 90.00°, γ = 104.44°
With the nearest neighbours (Å) after each atom.
Sites, in units of the cell vectors:
Pr: 0.0107 0.9893 0.5000  2 Pd 2.90-2.97, 2 Ir 2.91
Pr: 0.1047 0.5556 0.4377  3 Ir 2.88-3.03, 1 Pd 2.94
Pr: 0.2331 0.7669 0.8614  1 Pd 2.88, 3 Ir 2.93-2.98
Pr: 0.3028 0.3591 0.8978  4 Ir 2.96-3.09
Pr: 0.3591 0.3028 0.3978  4 Ir 2.96-3.09
Pr: 0.4444 0.8953 0.4377  3 Ir 2.88-3.03, 1 Pd 2.94
Pr: 0.5556 0.1047 0.9377  3 Ir 2.88-3.03, 1 Pd 2.94
Pr: 0.6409 0.6972 0.8978  4 Ir 2.96-3.09
Pr: 0.6972 0.6409 0.3978  4 Ir 2.96-3.09
Pr: 0.7669 0.2331 0.3614  1 Pd 2.88, 3 Ir 2.93-2.98
Pr: 0.8953 0.4444 0.9377  3 Ir 2.88-3.03, 1 Pd 2.94
Pr: 0.9893 0.0107 0.0000  2 Pd 2.90-2.97, 2 Ir 2.91
Ir: 0.0706 0.2951 0.2014  6 Pr 2.88-3.03
Ir: 0.2951 0.0706 0.7014  6 Pr 2.88-3.03
Ir: 0.3996 0.6004 0.6183  7 Pr 2.93-3.09
Ir: 0.6004 0.3996 0.1183  7 Pr 2.93-3.09
Ir: 0.7049 0.9294 0.2014  6 Pr 2.88-3.03
Ir: 0.9294 0.7049 0.7014  6 Pr 2.88-3.03
Pd: 0.1592 0.8408 0.2310  5 Pr 2.88-2.97
Pd: 0.8408 0.1592 0.7310  5 Pr 2.88-2.97

Summary:
total DFT energy (no corrections): -6.56 eV per atom
energy of formation: -0.515 eV per atom

# 19
Computed, not measured: a geometry-optimized NbIn3B structure at the PBE-GGA level of DFT.

a = 4.7229 Å, b = 4.7229 Å, c = 4.7229 Å
α = 90.00°, β = 90.00°, γ = 90.00°
With the nearest neighbours (Å) after each atom.
Sites, in units of the cell vectors:
Nb: 0.0000 0.0000 0.0000  12 In 3.34
In: 0.0000 0.5000 0.5000  2 B 2.36
In: 0.5000 0.0000 0.5000  2 B 2.36
In: 0.5000 0.5000 0.0000  2 B 2.36
B: 0.5000 0.5000 0.5000  6 In 2.36

Summary:
total DFT energy (no corrections): -4.00 eV per atom
energy of formation: 0.990 eV per atom
relative energy among the computed polymorphs: 0.0 meV/atom

# 20
Computed, not measured: a geometry-optimized Eu3TeC structure at the PBE-GGA level of DFT.

a = 5.1506 Å, b = 5.1506 Å, c = 5.1506 Å
α = 90.00°, β = 90.00°, γ = 90.00°
With the nearest neighbours (Å) after each atom.
Sites, in units of the cell vectors:
Eu: 0.0000 0.0000 0.5000  2 C 2.58
Eu: 0.0000 0.5000 0.0000  2 C 2.58
Eu: 0.5000 0.0000 0.0000  2 C 2.58
Te: 0.5000 0.5000 0.5000  12 Eu 3.64
C: 0.0000 0.0000 0.0000  6 Eu 2.58

Summary:
total DFT energy (no corrections): -9.13 eV per atom
E_form (uncorrected): -494 meV/atom